<P>
{"formula": "K2YOF", "functional": "PBE-GGA", "state": "optimized geometry", "lattice_angstrom": [[7.051, 0.000, 0.000], [0.000, 4.326, 0.000], [0.000, 0.000, 7.051]], "species": ["Y", "K", "O", "K", "F"], "frac_coords": [[0.000, 0.000, 0.000], [0.500, 0.000, 0.000], [0.500, 0.500, 0.500], [0.000, 0.000, 0.500], [0.000, 0.500, 0.000]]}

***

<Q>
{"formula": "K2YOF", "functional": "PBE-GGA", "state": "optimized geometry", "lattice_angstrom": [[-5.412, -2.076, 1.387], [0.063, -2.515, -3.519], [2.495, -4.382, 3.176]], "species": ["F", "Y", "K", "O", "K"], "frac_coords": [[0.500, 0.500, 0.500], [0.000, 0.500, 0.000], [0.000, 0.000, 0.500], [0.000, 0.000, 0.000], [0.500, 0.000, 0.000]]}

***

<Q> ends up most stable, edging out the next structure by 1054 meV per atom.

***

<P>
{"formula": "KYOF2", "functional": "PBE-GGA", "state": "optimized geometry", "lattice_angstrom": [[-0.554, -0.815, -4.406], [0.768, -4.391, 0.716], [-4.264, -0.639, 0.654]], "species": ["K", "F", "O", "Y", "F"], "frac_coords": [[0.500, 0.500, 0.500], [0.000, 0.500, 0.000], [0.000, 0.000, 0.500], [0.000, 0.000, 0.000], [0.500, 0.000, 0.000]]}

***

<Q>
{"formula": "KYOF2", "functional": "PBE-GGA", "state": "optimized geometry", "lattice_angstrom": [[-3.049, 0.273, -3.056], [-1.194, -4.074, 0.828], [-3.155, 1.593, 3.291]], "species": ["K", "F", "O", "F", "Y"], "frac_coords": [[0.000, 0.000, 0.000], [0.500, 0.000, 0.000], [0.000, 0.000, 0.500], [0.000, 0.500, 0.000], [0.500, 0.500, 0.500]]}

***

<P> ends up most stable, edging out the next structure by 1601 meV per atom.

***

<P>
{"formula": "KZnOF2", "functional": "PBE-GGA", "state": "optimized geometry", "lattice_angstrom": [[-2.723, 3.361, -1.584], [-1.230, -2.669, -3.548], [-3.278, -1.566, 2.314]], "species": ["O", "F", "K", "F", "Zn"], "frac_coords": [[0.000, 0.000, 0.500], [0.000, 0.500, 0.000], [0.000, 0.000, 0.000], [0.500, 0.000, 0.000], [0.500, 0.500, 0.500]]}

***

<Q>
{"formula": "KZnOF2", "functional": "PBE-GGA", "state": "optimized geometry", "lattice_angstrom": [[-3.262, 0.640, 2.660], [1.789, -2.633, 2.827], [1.878, 2.978, 1.586]], "species": ["Zn", "F", "K", "F", "O"], "frac_coords": [[0.000, 0.000, 0.000], [0.500, 0.000, 0.000], [0.500, 0.500, 0.500], [0.000, 0.500, 0.000], [0.000, 0.000, 0.500]]}

***

<Q> ends up most stable, edging out the next structure by 1461 meV per atom.

***

<P>
{"formula": "KZrOF2", "functional": "PBE-GGA", "state": "optimized geometry", "lattice_angstrom": [[4.345, 0.000, 0.000], [0.000, 4.345, 0.000], [0.000, 0.000, 4.712]], "species": ["K", "O", "F", "F", "Zr"], "frac_coords": [[0.000, 0.000, 0.000], [0.000, 0.000, 0.500], [0.000, 0.500, 0.000], [0.500, 0.000, 0.000], [0.500, 0.500, 0.500]]}

***

<Q>
{"formula": "KZrOF2", "functional": "PBE-GGA", "state": "optimized geometry", "lattice_angstrom": [[-0.869, 2.702, 3.453], [-2.788, -3.057, 1.691], [3.139, -1.693, 2.114]], "species": ["Zr", "F", "K", "O", "F"], "frac_coords": [[0.000, 0.000, 0.000], [0.500, 0.000, 0.000], [0.500, 0.500, 0.500], [0.000, 0.000, 0.500], [0.000, 0.500, 0.000]]}

***

<Q> ends up most stable, edging out the next structure by 1942 meV per atom.

***

<P>
{"formula": "KOs2F2", "functional": "PBE-GGA", "state": "optimized geometry", "lattice_angstrom": [[-5.944, 0.453, 6.051], [-2.604, -7.841, -1.971], [1.753, -1.035, 1.800]], "species": ["Os", "K", "Os", "F", "K", "Os", "F", "Os", "F", "F"], "frac_coords": [[0.091, 0.409, 0.000], [0.500, 0.500, 0.000], [0.909, 0.591, 0.000], [0.737, 0.237, 0.500], [0.000, 0.000, 0.000], [0.409, 0.909, 0.000], [0.263, 0.763, 0.500], [0.591, 0.091, 0.000], [0.237, 0.263, 0.500], [0.763, 0.737, 0.500]]}

***

<Q>
{"formula": "KOs2F2", "functional": "PBE-GGA", "state": "optimized geometry", "lattice_angstrom": [[-0.539, -0.852, -4.280], [4.213, -1.227, -0.286], [0.560, -5.677, -1.199]], "species": ["Os", "Os", "F", "K", "F"], "frac_coords": [[0.607, 0.607, 0.787], [0.393, 0.393, 0.213], [0.250, 0.750, 0.500], [0.000, 0.000, 0.000], [0.750, 0.250, 0.500]]}

***

<P> ends up most stable, edging out the next structure by 412 meV per atom.

***

<P>
{"formula": "KOs2F", "functional": "PBE-GGA", "state": "optimized geometry", "lattice_angstrom": [[-2.014, -0.168, -2.834], [2.838, -0.033, -2.015], [0.700, -14.326, -1.786]], "species": ["Os", "F", "K", "Os", "F", "K", "Os", "Os"], "frac_coords": [[0.875, 0.876, 0.750], [0.250, 0.750, 0.500], [0.000, 0.000, 0.000], [0.375, 0.374, 0.750], [0.500, 0.500, 0.000], [0.750, 0.250, 0.500], [0.124, 0.625, 0.250], [0.626, 0.125, 0.250]]}

***

<Q>
{"formula": "KOs2F", "functional": "PBE-GGA", "state": "optimized geometry", "lattice_angstrom": [[2.758, -0.875, 3.733], [1.822, 3.581, 2.482], [-1.576, 0.893, 4.362]], "species": ["Os", "K", "Os", "F"], "frac_coords": [[0.250, 0.250, 0.250], [0.500, 0.500, 0.500], [0.750, 0.750, 0.750], [0.000, 0.000, 0.000]]}

***

<P> ends up most stable, edging out the next structure by 2194 meV per atom.

***

<P>
{"formula": "KOsF2", "functional": "PBE-GGA", "state": "optimized geometry", "lattice_angstrom": [[-7.529, 1.970, 1.102], [-6.516, 2.137, 3.841], [-6.190, 4.403, 2.020]], "species": ["Os", "F", "F", "K"], "frac_coords": [[0.000, 0.000, 0.000], [0.912, 0.912, 0.912], [0.088, 0.088, 0.088], [0.500, 0.500, 0.500]]}

***

<Q>
{"formula": "KOsF2", "functional": "PBE-GGA", "state": "optimized geometry", "lattice_angstrom": [[6.554, 0.000, 0.000], [0.000, 6.554, 0.000], [3.277, 3.277, 3.547]], "species": ["K", "Os", "F", "F", "Os", "F", "F", "K"], "frac_coords": [[0.500, 0.500, 0.000], [0.750, 0.250, 0.500], [0.875, 0.917, 0.750], [0.375, 0.333, 0.750], [0.000, 0.000, 0.000], [0.083, 0.625, 0.250], [0.667, 0.125, 0.250], [0.250, 0.750, 0.500]]}

***

<R>
{"formula": "KOsF2", "functional": "PBE-GGA", "state": "optimized geometry", "lattice_angstrom": [[-5.787, 2.493, 1.067], [-6.082, -1.257, 1.510], [-4.651, 0.872, 4.296]], "species": ["K", "Os", "F", "F"], "frac_coords": [[0.000, 0.000, 0.000], [0.500, 0.500, 0.500], [0.138, 0.138, 0.138], [0.862, 0.862, 0.862]]}

***

<P> ends up most stable, edging out the next structure by 764 meV per atom.

***

<P>
{"formula": "KOs3F", "functional": "PBE-GGA", "state": "optimized geometry", "lattice_angstrom": [[-0.910, -0.295, -4.346], [-0.968, -4.315, 0.495], [-4.247, 1.047, 0.819]], "species": ["Os", "F", "Os", "K", "Os"], "frac_coords": [[0.500, 0.000, 0.000], [0.000, 0.000, 0.000], [0.000, 0.000, 0.500], [0.500, 0.500, 0.500], [0.000, 0.500, 0.000]]}

***

<Q>
{"formula": "KOs3F", "functional": "PBE-GGA", "state": "optimized geometry", "lattice_angstrom": [[4.864, 0.000, 0.000], [0.000, 4.864, 0.000], [0.000, 0.000, 4.864]], "species": ["Os", "Os", "F", "K", "Os"], "frac_coords": [[0.000, 0.500, 0.000], [0.000, 0.000, 0.500], [0.500, 0.500, 0.500], [0.000, 0.000, 0.000], [0.500, 0.000, 0.000]]}

***

<P> ends up most stable, edging out the next structure by 1845 meV per atom.

***

<P>
{"formula": "KP2F", "functional": "PBE-GGA", "state": "optimized geometry", "lattice_angstrom": [[4.112, 0.000, 0.000], [0.000, 4.112, 0.000], [2.056, 2.056, 13.114]], "species": ["K", "K", "P", "P", "P", "F", "F", "P"], "frac_coords": [[0.000, 0.000, 0.000], [0.750, 0.250, 0.500], [0.875, 0.625, 0.750], [0.375, 0.625, 0.250], [0.375, 0.125, 0.250], [0.500, 0.500, 0.000], [0.250, 0.750, 0.500], [0.375, 0.625, 0.750]]}

***

<Q>
{"formula": "KP2F", "functional": "PBE-GGA", "state": "optimized geometry", "lattice_angstrom": [[0.000, 3.408, 3.408], [3.408, 0.000, 3.408], [3.408, 3.408, 0.000]], "species": ["K", "P", "F", "P"], "frac_coords": [[0.500, 0.500, 0.500], [0.750, 0.750, 0.750], [0.000, 0.000, 0.000], [0.250, 0.250, 0.250]]}

***

<P> ends up most stable, edging out the next structure by 1222 meV per atom.

***

<P>
{"formula": "KPa2F8", "functional": "PBE-GGA", "state": "optimized geometry", "lattice_angstrom": [[-2.110, 4.002, 0.129], [-5.351, -3.557, 1.828], [4.168, 1.359, 5.041]], "species": ["F", "F", "F", "F", "F", "K", "F", "F", "F", "Pa", "Pa"], "frac_coords": [[0.554, 0.331, 0.042], [0.554, 0.042, 0.331], [0.773, 0.601, 0.601], [0.446, 0.951, 0.664], [0.999, 0.260, 0.731], [0.001, 0.998, 0.998], [0.229, 0.391, 0.391], [0.446, 0.664, 0.951], [0.999, 0.731, 0.260], [0.500, 0.322, 0.674], [0.500, 0.674, 0.322]]}

***

<Q>
{"formula": "KPa2F8", "functional": "PBE-GGA", "state": "optimized geometry", "lattice_angstrom": [[5.229, -0.580, -0.440], [-0.848, 7.194, 2.282], [-0.848, 4.135, 6.314]], "species": ["F", "Pa", "Pa", "F", "F", "F", "F", "F", "K", "F", "F"], "frac_coords": [[0.341, 0.915, 0.410], [0.280, 0.297, 0.297], [0.720, 0.703, 0.703], [0.790, 0.561, 0.561], [0.659, 0.590, 0.085], [0.147, 0.813, 0.813], [0.853, 0.187, 0.187], [0.210, 0.439, 0.439], [0.000, 0.000, 0.000], [0.341, 0.410, 0.915], [0.659, 0.085, 0.590]]}

***

<P> ends up most stable, edging out the next structure by 84 meV per atom.

***

<P>
{"formula": "K2PaF8", "functional": "PBE-GGA", "state": "optimized geometry", "lattice_angstrom": [[-3.704, 1.466, -1.106], [-2.653, -4.221, 3.289], [3.187, 5.760, 4.686]], "species": ["F", "Pa", "F", "F", "F", "F", "F", "F", "K", "F", "K"], "frac_coords": [[0.020, 0.827, 0.041], [0.500, 0.000, 0.000], [0.779, 0.679, 0.558], [0.580, 0.370, 0.161], [0.631, 0.968, 0.263], [0.980, 0.173, 0.959], [0.420, 0.630, 0.839], [0.221, 0.321, 0.442], [0.171, 0.692, 0.343], [0.369, 0.032, 0.737], [0.829, 0.308, 0.657]]}

***

<Q>
{"formula": "K2PaF8", "functional": "PBE-GGA", "state": "optimized geometry", "lattice_angstrom": [[4.103, 0.000, 0.000], [-2.052, 6.491, -1.376], [0.000, 0.093, 8.913]], "species": ["Pa", "F", "F", "K", "F", "F", "K", "F", "F", "F", "F"], "frac_coords": [[0.500, 0.000, 0.000], [0.056, 0.111, 0.122], [0.241, 0.482, 0.545], [0.260, 0.521, 0.268], [0.335, 0.671, 0.933], [0.759, 0.518, 0.455], [0.740, 0.479, 0.732], [0.944, 0.889, 0.878], [0.547, 0.094, 0.789], [0.665, 0.329, 0.067], [0.453, 0.906, 0.211]]}

***

<Q> ends up most stable, edging out the next structure by 15 meV per atom.

***

<P>
{"formula": "K2Pb3F8", "functional": "PBE-GGA", "state": "optimized geometry", "lattice_angstrom": [[-1.953, 0.534, -6.097], [6.438, -3.589, -2.377], [-5.260, -3.682, 3.931]], "species": ["Pb", "F", "K", "F", "K", "Pb", "F", "F", "F", "F", "Pb", "F", "F"], "frac_coords": [[0.500, 0.000, 0.000], [0.091, 0.402, 0.805], [0.355, 0.284, 0.568], [0.400, 0.331, 0.231], [0.645, 0.716, 0.432], [0.000, 0.738, 0.000], [0.600, 0.669, 0.769], [0.400, 0.900, 0.231], [0.600, 0.100, 0.769], [0.922, 0.104, 0.208], [0.000, 0.262, 0.000], [0.909, 0.598, 0.195], [0.078, 0.896, 0.792]]}

***

<Q>
{"formula": "K2Pb3F8", "functional": "PBE-GGA", "state": "optimized geometry", "lattice_angstrom": [[4.176, 0.000, 0.000], [0.000, 7.535, 2.792], [0.000, -0.315, 8.049]], "species": ["Pb", "F", "F", "Pb", "F", "K", "F", "F", "F", "F", "F", "Pb", "K"], "frac_coords": [[0.000, 0.294, 0.705], [0.000, 0.110, 0.111], [0.500, 0.347, 0.869], [0.000, 0.706, 0.295], [0.000, 0.392, 0.392], [0.500, 0.264, 0.264], [0.500, 0.132, 0.652], [0.000, 0.890, 0.889], [0.000, 0.608, 0.608], [0.500, 0.653, 0.131], [0.500, 0.868, 0.348], [0.500, 0.000, 0.000], [0.500, 0.736, 0.736]]}

***

<P> ends up most stable, edging out the next structure by 24 meV per atom.